Material: Zr4O
Method: DFT, SCAN
State: single point on PBEsol structure

Results
Its uncorrected formation energy is -1.232 eV per atom. As for the crystal system: trigonal. For the density of states at the Fermi level, the calculation gives 0.339 states/eV per atom.

Cell lengths 5.5822, 5.5822, 10.7796 Å; angles 74.99, 74.99, 60.00 degrees
Sites, in units of the cell vectors:
Zr1 0.2085 0.5378 0.3771
Zr2 0.7149 0.0330 0.8757
Zr3 0.8766 0.2085 0.3771
Zr4 0.3764 0.7149 0.8757
Zr5 0.5378 0.8766 0.3771
Zr6 0.0330 0.3764 0.8757
Zr7 0.1234 0.7915 0.6229
Zr8 0.6236 0.2851 0.1243
Zr9 0.7915 0.4622 0.6229
Zr10 0.2851 0.9670 0.1243
Zr11 0.4622 0.1234 0.6229
Zr12 0.9670 0.6236 0.1243
O1 0.0000 0.0000 0.0000
O2 0.2498 0.2498 0.2505
O3 0.7502 0.7502 0.7495